Material: ZrTiS3
Method: DFT, GGA-PBE
State: relaxed

ΔE_f (raw) = -7.12 eV/f.u.
Calculated volume = 199.3 Å³ per cell
Excess energy over the best structure of this formula in the dataset = 0 meV/atom
Size of the total moment = 0.660 μB/f.u.

Lattice parameters (Å, degrees): 6.100 6.142 6.142 120.00 90.00 90.00
Fractional positions:
Zr (0.000, 0.000, 0.000)
Zr (0.500, 0.000, 0.000)
Ti (0.500, 0.667, 0.333)
Ti (0.000, 0.667, 0.333)
S (0.750, 0.348, 0.340)
S (0.750, 0.992, 0.652)
S (0.750, 0.660, 0.008)
S (0.250, 0.660, 0.652)
S (0.250, 0.348, 0.008)
S (0.250, 0.992, 0.340)


Material: Zr3TiS4
Method: DFT, GGA-PBE
State: relaxed

ΔE_f (raw) = -9.20 eV/f.u.
Calculated volume = 335.9 Å³ per cell
Size of the total moment = 0.000 μB/f.u.

Lattice parameters (Å, degrees): 6.709 6.883 7.274 90.00 90.00 90.00
Fractional positions:
Zr (0.443, 0.805, 0.000)
Zr (0.038, 0.592, 0.246)
Zr (0.538, 0.408, 0.254)
Zr (0.943, 0.195, 0.500)
Zr (0.538, 0.408, 0.746)
Zr (0.038, 0.592, 0.754)
Ti (0.950, 0.218, 0.000)
Ti (0.450, 0.782, 0.500)
S (0.073, 0.860, 0.000)
S (0.605, 0.153, 0.000)
S (0.184, 0.252, 0.241)
S (0.684, 0.748, 0.259)
S (0.105, 0.847, 0.500)
S (0.573, 0.140, 0.500)
S (0.684, 0.748, 0.741)
S (0.184, 0.252, 0.759)


Material: ZrTi2S2
Method: DFT, GGA-PBE
State: relaxed

ΔE_f (raw) = -5.21 eV/f.u.
Calculated volume = 156.5 Å³ per cell
Excess energy over the best structure of this formula in the dataset = 0 meV/atom
Size of the total moment = 0.000 μB/f.u.

Lattice parameters (Å, degrees): 6.934 6.934 3.254 90.00 90.00 90.00
Fractional positions:
S (0.350, 0.850, 0.000)
S (0.850, 0.650, 0.000)
S (0.650, 0.150, 0.000)
S (0.150, 0.350, 0.000)
Zr (0.000, 0.000, 0.000)
Zr (0.500, 0.500, 0.000)
Ti (0.150, 0.650, 0.500)
Ti (0.650, 0.850, 0.500)
Ti (0.850, 0.350, 0.500)
Ti (0.350, 0.150, 0.500)


Material: ZrTi2S4
Method: DFT, GGA-PBE
State: relaxed

ΔE_f (raw) = -9.38 eV/f.u.
Calculated volume = 245.2 Å³ per cell
Size of the total moment = 0.001 μB/f.u.

Lattice parameters (Å, degrees): 3.424 5.905 12.675 90.00 90.00 106.85
Fractional positions:
Zr (0.619, 0.239, 0.750)
Zr (0.381, 0.761, 0.250)
Ti (0.148, 0.295, 0.439)
Ti (0.852, 0.705, 0.939)
Ti (0.148, 0.295, 0.061)
Ti (0.852, 0.705, 0.561)
S (0.787, 0.574, 0.119)
S (0.787, 0.574, 0.381)
S (0.213, 0.426, 0.881)
S (0.213, 0.426, 0.619)
S (0.948, 0.896, 0.750)
S (0.052, 0.104, 0.250)
S (0.500, 0.000, 0.000)
S (0.500, 0.000, 0.500)


Material: Zr3TiS6
Method: DFT, GGA-PBE
State: relaxed

ΔE_f (raw) = -13.80 eV/f.u.
Calculated volume = 411.6 Å³ per cell
Size of the total moment = 1.348 μB/f.u.

Lattice parameters (Å, degrees): 7.441 7.441 7.441 88.41 88.41 88.41
Fractional positions:
Zr (0.414, 0.925, 0.788)
Zr (0.925, 0.788, 0.414)
Zr (0.212, 0.586, 0.075)
Zr (0.788, 0.414, 0.925)
Zr (0.075, 0.212, 0.586)
Zr (0.586, 0.075, 0.212)
Ti (0.000, 0.000, 0.000)
Ti (0.500, 0.500, 0.500)
S (0.303, 0.919, 0.120)
S (0.081, 0.880, 0.697)
S (0.590, 0.818, 0.462)
S (0.880, 0.697, 0.081)
S (0.462, 0.590, 0.818)
S (0.182, 0.538, 0.410)
S (0.818, 0.462, 0.590)
S (0.538, 0.410, 0.182)
S (0.120, 0.303, 0.919)
S (0.410, 0.182, 0.538)
S (0.919, 0.120, 0.303)
S (0.697, 0.081, 0.880)


Material: Zr2TiS
Method: DFT, GGA-PBE
State: relaxed

ΔE_f (raw) = -1.44 eV/f.u.
Calculated volume = 170.9 Å³ per cell
Size of the total moment = 0.000 μB/f.u.

Lattice parameters (Å, degrees): 8.504 8.504 6.461 48.84 48.84 90.00
Fractional positions:
S (0.500, 0.500, 0.000)
S (0.250, 0.750, 0.500)
Zr (0.511, 0.125, 0.250)
Zr (0.239, 0.625, 0.250)
Zr (0.375, 0.489, 0.750)
Zr (0.875, 0.761, 0.750)
Ti (0.000, 0.000, 0.000)
Ti (0.750, 0.250, 0.500)


Material: ZrTi3S3
Method: DFT, GGA-PBE
State: relaxed

ΔE_f (raw) = -7.77 eV/f.u.
Calculated volume = 241.7 Å³ per cell
Size of the total moment = 0.000 μB/f.u.

Lattice parameters (Å, degrees): 6.678 6.678 7.350 62.98 62.98 60.00
Fractional positions:
Zr (0.334, 0.334, 0.999)
Zr (0.666, 0.666, 0.001)
Ti (0.499, 0.769, 0.634)
Ti (0.769, 0.098, 0.634)
Ti (0.098, 0.499, 0.634)
Ti (0.902, 0.501, 0.366)
Ti (0.231, 0.902, 0.366)
Ti (0.501, 0.231, 0.366)
S (0.230, 0.627, 0.236)
S (0.906, 0.230, 0.236)
S (0.627, 0.906, 0.236)
S (0.373, 0.094, 0.764)
S (0.094, 0.770, 0.764)
S (0.770, 0.373, 0.764)


Material: Zr2TiS
Method: DFT, GGA-PBE
State: relaxed

ΔE_f (raw) = -2.51 eV/f.u.
Calculated volume = 79.5 Å³ per cell
Size of the total moment = 0.000 μB/f.u.

Lattice parameters (Å, degrees): 3.333 3.333 8.490 78.68 78.68 60.00
Fractional positions:
S (0.000, 0.000, 0.000)
Zr (0.739, 0.739, 0.783)
Zr (0.261, 0.261, 0.217)
Ti (0.500, 0.500, 0.500)


Material: Tl2S3
Method: DFT, GGA-PBE
State: relaxed

ΔE_f (raw) = -0.80 eV/f.u.
Calculated volume = 314.7 Å³ per cell
Size of the total moment = 0.000 μB/f.u.

Lattice parameters (Å, degrees): 6.106 6.106 8.443 90.00 90.00 89.00
Fractional positions:
Tl (0.142, 0.349, 0.001)
Tl (0.349, 0.142, 0.501)
Tl (0.858, 0.651, 0.501)
Tl (0.651, 0.858, 0.001)
S (0.835, 0.165, 0.341)
S (0.676, 0.324, 0.156)
S (0.061, 0.939, 0.246)
S (0.324, 0.676, 0.656)
S (0.165, 0.835, 0.841)
S (0.939, 0.061, 0.746)


Material: TlS
Method: DFT, GGA-PBE
State: relaxed

ΔE_f (raw) = -0.39 eV/f.u.
Calculated volume = 103.1 Å³ per cell
Size of the total moment = 0.000 μB/f.u.

Lattice parameters (Å, degrees): 7.630 7.630 7.630 30.78 30.78 30.78
Fractional positions:
Tl (0.000, 0.000, 0.000)
Tl (0.500, 0.500, 0.500)
S (0.736, 0.736, 0.736)
S (0.264, 0.264, 0.264)


Material: TlS
Method: DFT, GGA-PBE
State: relaxed

ΔE_f (raw) = -0.35 eV/f.u.
Calculated volume = 271.8 Å³ per cell
Size of the total moment = 0.000 μB/f.u.

Lattice parameters (Å, degrees): 4.166 4.166 18.084 90.00 90.00 120.00
Fractional positions:
Tl (0.333, 0.667, 0.055)
Tl (0.667, 0.333, 0.555)
Tl (0.000, 0.000, 0.332)
Tl (0.000, 0.000, 0.832)
S (0.333, 0.667, 0.269)
S (0.667, 0.333, 0.769)
S (0.000, 0.000, 0.469)
S (0.000, 0.000, 0.969)


Material: TlS
Method: DFT, GGA-PBE
State: relaxed

ΔE_f (raw) = -0.11 eV/f.u.
Calculated volume = 473.1 Å³ per cell
Size of the total moment = 0.000 μB/f.u.

Lattice parameters (Å, degrees): 11.371 11.371 4.225 90.00 90.00 120.00
Fractional positions:
Tl (0.905, 0.336, 0.250)
Tl (0.569, 0.905, 0.750)
Tl (0.664, 0.569, 0.250)
Tl (0.095, 0.664, 0.750)
Tl (0.431, 0.095, 0.250)
Tl (0.336, 0.431, 0.750)
S (0.682, 0.081, 0.250)
S (0.601, 0.682, 0.750)
S (0.919, 0.601, 0.250)
S (0.318, 0.919, 0.750)
S (0.399, 0.318, 0.250)
S (0.081, 0.399, 0.750)


Material: Tl3S2
Method: DFT, GGA-PBE
State: relaxed

ΔE_f (raw) = -1.45 eV/f.u.
Calculated volume = 317.4 Å³ per cell
Excess energy over the best structure of this formula in the dataset = 0 meV/atom
Size of the total moment = 0.000 μB/f.u.

Lattice parameters (Å, degrees): 4.201 10.820 8.330 102.26 120.14 90.08
Fractional positions:
Tl (0.678, 0.816, 0.076)
Tl (0.452, 0.124, 0.852)
Tl (0.678, 0.817, 0.579)
Tl (0.525, 0.187, 0.425)
Tl (0.864, 0.483, 0.265)
Tl (0.866, 0.513, 0.764)
S (0.092, 0.998, 0.492)
S (0.108, 0.050, 0.009)
S (0.285, 0.654, 0.185)
S (0.453, 0.358, 0.852)


Material: TlS
Method: DFT, GGA-PBE
State: relaxed

ΔE_f (raw) = -0.34 eV/f.u.
Calculated volume = 50.0 Å³ per cell
Size of the total moment = 0.000 μB/f.u.

Lattice parameters (Å, degrees): 4.134 4.134 4.134 60.00 60.00 60.00
Fractional positions:
Tl (0.500, 0.500, 0.500)
S (0.000, 0.000, 0.000)


Material: TlS
Method: DFT, GGA-PBE
State: relaxed

ΔE_f (raw) = -0.42 eV/f.u.
Calculated volume = 480.6 Å³ per cell
Size of the total moment = 0.000 μB/f.u.

Lattice parameters (Å, degrees): 6.646 6.646 10.883 90.00 90.00 90.00
Fractional positions:
Tl (0.201, 0.201, 0.000)
Tl (0.701, 0.299, 0.250)
Tl (0.299, 0.701, 0.750)
Tl (0.799, 0.799, 0.500)
Tl (0.762, 0.762, 0.000)
Tl (0.262, 0.738, 0.250)
Tl (0.738, 0.262, 0.750)
Tl (0.238, 0.238, 0.500)
S (0.268, 0.306, 0.780)
S (0.768, 0.194, 0.470)
S (0.232, 0.806, 0.970)
S (0.732, 0.694, 0.280)
S (0.694, 0.732, 0.720)
S (0.194, 0.768, 0.530)
S (0.806, 0.232, 0.030)
S (0.306, 0.268, 0.220)


Material: Tl7S3
Method: DFT, GGA-PBE
State: relaxed

ΔE_f (raw) = -2.18 eV/f.u.
Calculated volume = 589.8 Å³ per cell
Size of the total moment = 0.000 μB/f.u.

Lattice parameters (Å, degrees): 5.933 10.714 10.714 120.00 90.00 90.00
Fractional positions:
Tl (0.108, 0.667, 0.333)
Tl (0.608, 0.333, 0.667)
Tl (0.909, 0.881, 0.762)
Tl (0.909, 0.881, 0.119)
Tl (0.909, 0.238, 0.119)
Tl (0.409, 0.119, 0.238)
Tl (0.409, 0.119, 0.881)
Tl (0.409, 0.762, 0.881)
Tl (0.158, 0.456, 0.912)
Tl (0.158, 0.456, 0.544)
Tl (0.158, 0.088, 0.544)
Tl (0.658, 0.544, 0.088)
Tl (0.658, 0.544, 0.456)
Tl (0.658, 0.912, 0.456)
S (0.866, 0.200, 0.400)
S (0.866, 0.200, 0.800)
S (0.866, 0.600, 0.800)
S (0.366, 0.800, 0.600)
S (0.366, 0.800, 0.200)
S (0.366, 0.400, 0.200)


Material: Tl4S
Method: DFT, GGA-PBE
State: relaxed

ΔE_f (raw) = -0.51 eV/f.u.
Calculated volume = 163.3 Å³ per cell
Excess energy over the best structure of this formula in the dataset = 0 meV/atom
Size of the total moment = 0.000 μB/f.u.

Lattice parameters (Å, degrees): 3.817 3.817 12.942 89.96 90.00 120.00
Fractional positions:
Tl (0.666, 0.333, 0.142)
Tl (0.334, 0.667, 0.858)
Tl (0.667, 0.334, 0.396)
Tl (0.333, 0.666, 0.604)
S (0.000, 0.000, 0.000)


Material: TlS
Method: DFT, GGA-PBE
State: relaxed

ΔE_f (raw) = -0.17 eV/f.u.
Calculated volume = 129.1 Å³ per cell
Size of the total moment = 0.000 μB/f.u.

Lattice parameters (Å, degrees): 4.265 4.265 8.193 90.00 90.00 120.00
Fractional positions:
Tl (0.333, 0.667, 0.713)
Tl (0.667, 0.333, 0.213)
S (0.333, 0.667, 0.369)
S (0.667, 0.333, 0.869)


Material: Tl3S
Method: DFT, GGA-PBE
State: relaxed

ΔE_f (raw) = -0.74 eV/f.u.
Calculated volume = 241.5 Å³ per cell
Size of the total moment = 0.000 μB/f.u.

Lattice parameters (Å, degrees): 3.908 6.736 9.229 96.31 90.00 90.00
Fractional positions:
Tl (0.750, 0.866, 0.126)
Tl (0.250, 0.134, 0.874)
Tl (0.750, 0.374, 0.174)
Tl (0.250, 0.626, 0.826)
Tl (0.750, 0.272, 0.558)
Tl (0.250, 0.728, 0.442)
S (0.750, 0.873, 0.680)
S (0.250, 0.127, 0.320)


Material: TlS
Method: DFT, GGA-PBE
State: relaxed

ΔE_f (raw) = -0.10 eV/f.u.
Calculated volume = 672.0 Å³ per cell
Size of the total moment = 0.000 μB/f.u.

Lattice parameters (Å, degrees): 8.759 8.759 8.759 90.00 90.00 90.00
Fractional positions:
Tl (0.346, 0.346, 0.346)
Tl (0.346, 0.654, 0.654)
Tl (0.654, 0.346, 0.654)
Tl (0.654, 0.654, 0.346)
Tl (0.846, 0.846, 0.846)
Tl (0.846, 0.154, 0.154)
Tl (0.154, 0.846, 0.154)
Tl (0.154, 0.154, 0.846)
S (0.171, 0.171, 0.171)
S (0.171, 0.829, 0.829)
S (0.829, 0.171, 0.829)
S (0.829, 0.829, 0.171)
S (0.671, 0.671, 0.671)
S (0.671, 0.329, 0.329)
S (0.329, 0.671, 0.329)
S (0.329, 0.329, 0.671)


Material: TlS
Method: DFT, GGA-PBE
State: relaxed

ΔE_f (raw) = -0.14 eV/f.u.
Calculated volume = 614.1 Å³ per cell
Size of the total moment = 0.000 μB/f.u.

Lattice parameters (Å, degrees): 11.988 11.988 4.273 90.00 90.00 90.00
Fractional positions:
Tl (0.377, 0.215, 0.000)
Tl (0.623, 0.785, 0.000)
Tl (0.785, 0.377, 0.000)
Tl (0.215, 0.623, 0.000)
Tl (0.877, 0.715, 0.500)
Tl (0.123, 0.285, 0.500)
Tl (0.285, 0.877, 0.500)
Tl (0.715, 0.123, 0.500)
S (0.398, 0.773, 0.000)
S (0.602, 0.227, 0.000)
S (0.227, 0.398, 0.000)
S (0.773, 0.602, 0.000)
S (0.898, 0.273, 0.500)
S (0.102, 0.727, 0.500)
S (0.727, 0.898, 0.500)
S (0.273, 0.102, 0.500)


Material: Tl3S
Method: DFT, GGA-PBE
State: relaxed

ΔE_f (raw) = -0.50 eV/f.u.
Calculated volume = 116.9 Å³ per cell
Size of the total moment = 0.000 μB/f.u.

Lattice parameters (Å, degrees): 4.813 4.813 5.044 90.00 90.00 90.00
Fractional positions:
Tl (0.000, 0.500, 0.390)
Tl (0.500, 0.000, 0.390)
Tl (0.500, 0.500, 0.892)
S (0.000, 0.000, 0.994)